Entry from the Alexandria database: an optimized crystal structure of Mg2InTc (PBE).

abc: 5.2840 5.2840 2.9096
angles: 90.27 90.27 113.82
Element x y z (fractional)
Mg1 0.0000 0.5000 0.0000
Mg2 0.5000 0.0000 0.0000
In1 0.0000 0.0000 0.5000
Tc1 0.5000 0.5000 0.5000

Results
Its total moment is 0.00 μB/atom. The space group is C2/m, No. 12. As for the energy relative to the elements: 0.193 eV per atom.